! PBE KTa2Cr, relaxed; values from VASP
&SYSTEM
  ibrav = 0, nat = 4, ntyp = 3
/
ATOMIC_SPECIES
Cr 52.00 Cr.upf
K 39.10 K.upf
Ta 180.95 Ta.upf
CELL_PARAMETERS angstrom
-1.751 0.448 4.388
0.773 -1.009 4.573
3.714 6.588 1.219
ATOMIC_POSITIONS crystal
Cr 0.487 0.487 0.606
K 0.247 0.247 0.258
Ta 0.015 0.015 0.899
Ta 0.750 0.750 0.738
! - Energy: -7.612 eV per atom
! - M_tot: 2.2 μB/cell
! - ΔE_f: 994.7 meV per atom
! - Excess energy over the best structure of this formula in the dataset: 304 meV/atom
! - SG: No. 8